# TlMoRuO6

Crystalline TlMoRuO6 at its relaxed geometry (GGA+U, Alexandria via LeMat-Bulk).

Calculated values
Raw total energy in eV/cell: -116.6
Spin magnetization in μB/f.u.: 1.00

abc: 5.230 8.622 5.177
angles: 90.00 92.87 90.00
Space group C2 (No. 5)
One atom of each set of equivalent atoms:
Tl1 0.000 0.000 0.000 (multiplicity 2)
Mo1 0.000 0.649 0.500 (multiplicity 2)
Ru1 0.000 0.354 0.500 (multiplicity 2)
O1 0.129 0.508 0.246 (multiplicity 4)
O2 0.175 0.827 0.296 (multiplicity 4)
O3 0.184 0.186 0.296 (multiplicity 4)